Compound: LiTb2Co2O6
Source: Alexandria via LeMat-Bulk
Functional: PBE with a Hubbard U
Structure: relaxed

Structure (CIF):
```
data_LiTb2Co2O6
_chemical_formula_sum 'Li3 Tb6 Co6 O18'
_symmetry_space_group_name_H-M 'R -3 m'
_symmetry_Int_Tables_number 166
_symmetry_space_group_name_Hall '-R 3 2"'
_cell_length_a 5.7412
_cell_length_b 5.7412
_cell_length_c 15.8587
_cell_angle_alpha 90.00
_cell_angle_beta 90.00
_cell_angle_gamma 120.00
loop_
_atom_site_label
_atom_site_fract_x
_atom_site_fract_y
_atom_site_fract_z
Li1 0.0000 0.0000 0.0000
Tb1 0.0000 0.0000 0.1911
Co1 0.0000 0.0000 0.4117
O1 0.0245 0.5122 0.7600
```

Summary:
total energy = -212.32 eV for the cell shown
DOS(E_F) = 3.86 states/eV/f.u.